1.
# TaAlO4

A relaxed structure of TaAlO4 (PBE-GGA, the Alexandria database).

Properties
**Space-group type**: P2_1/c
**Formation energy (no corrections)**: -2.8621 eV per atom
**E**: -105.20 eV for the cell shown
**D(E_F)**: 0.000 states/eV/atom
**Spin magnetization**: 0.00 μB per formula unit

abc: 5.4729 4.6460 5.5321
angles: 90.00 114.62 90.00
Positions (direct):
1 Ta 0.0000 0.0000 0.0000
2 Ta 0.0000 0.5000 0.5000
3 Al 0.5000 0.0000 0.5000
4 Al 0.5000 0.5000 0.0000
5 O 0.1597 0.1885 0.3559
6 O 0.1597 0.3115 0.8559
7 O 0.3497 0.7008 0.6517
8 O 0.3497 0.7992 0.1517
9 O 0.6503 0.2008 0.8483
10 O 0.6503 0.2992 0.3483
11 O 0.8403 0.6885 0.1441
12 O 0.8403 0.8115 0.6441



2.
# Be2ZnP

A relaxed structure of Be2ZnP (PBE-GGA, the Alexandria database).

Properties
**Space-group type**: Cmmm
**E**: -12.77 eV for the cell shown
**Formation enthalpy at 0 K**: 0.341 eV/atom
**Polymorph energy (0 for the lowest one)**: 114 meV per atom
**D(E_F)**: 0.266 states/eV/atom
**Spin magnetization**: 0.00 μB per formula unit

abc: 4.3250 4.3250 2.6056
angles: 90.00 90.00 107.33
Positions (direct):
1 Be 0.0000 0.5000 0.0000
2 Be 0.5000 0.0000 0.0000
3 Zn 0.0000 0.0000 0.5000
4 P 0.5000 0.5000 0.5000



3.
# DyEr2ScO6

A relaxed structure of DyEr2ScO6 (PBE-GGA, the Alexandria database).

Properties
**Space-group type**: R3
**Formation energy (no corrections)**: -3.5468 eV per atom
**E**: -85.28 eV for the cell shown
**D(E_F)**: 0.000 states/eV/atom
**Spin magnetization**: 0.00 μB per formula unit

abc: 5.9442 5.9442 5.9442
angles: 56.98 56.98 56.98
Positions (direct):
1 Dy 0.0000 0.0000 0.0000
2 Er 0.2801 0.2801 0.2801
3 Er 0.7829 0.7829 0.7829
4 Sc 0.4940 0.4940 0.4940
5 O 0.1067 0.6791 0.3914
6 O 0.2017 0.5972 0.8692
7 O 0.3914 0.1067 0.6791
8 O 0.5972 0.8692 0.2017
9 O 0.6791 0.3914 0.1067
10 O 0.8692 0.2017 0.5972



4.
# Rb2HfI5Br

A relaxed structure of Rb2HfI5Br (PBE-GGA, the Alexandria database).

Properties
**Space-group type**: I4mm
**Formation energy (no corrections)**: -1.2636 eV per atom
**E**: -32.68 eV for the cell shown
**D(E_F)**: 0.000 states/eV/atom
**Spin magnetization**: 0.00 μB per formula unit

abc: 8.2097 8.2097 8.2097
angles: 118.75 118.75 92.17
Positions (direct):
1 Rb 0.0000 0.5000 0.5000
2 Rb 0.5000 0.0000 0.5000
3 Hf 0.2463 0.2463 0.0000
4 I 0.0080 0.0080 0.5152
5 I 0.0080 0.4928 0.0000
6 I 0.4928 0.0080 0.0000
7 I 0.4928 0.4928 0.4848
8 I 0.4973 0.4973 0.0000
9 Br 0.0189 0.0189 0.0000